The following is a DFT calculation (PBE) of Ho2Cu2BRh4 after structural relaxation.

Lattice parameters (Å, degrees): 5.710 5.710 5.710 117.91 117.91 93.65
Positions (direct):
1 Ho 0.250 0.750 0.500
2 Ho 0.750 0.250 0.500
3 Cu 0.230 0.230 0.000
4 Cu 0.770 0.770 0.000
5 B 0.500 0.500 0.000
6 Rh 0.248 0.248 0.496
7 Rh 0.248 0.752 0.000
8 Rh 0.752 0.248 0.000
9 Rh 0.752 0.752 0.504

Computed properties:
Its space-group type is I4/mmm. The total energy comes out at -59.6 eV/cell. Its density of states at the Fermi level is 2.07 states/eV per cell. The calculated formation energy is -688 meV per atom. The total magnetization comes out at 0.00 μB per formula unit.

=====

The following is a DFT calculation (PBE) of CuHg4F10 after structural relaxation.

Lattice parameters (Å, degrees): 14.878 14.878 14.878 16.02 16.02 16.02
Positions (direct):
1 Cu 0.000 0.000 0.000
2 Hg 0.201 0.201 0.201
3 Hg 0.396 0.396 0.396
4 Hg 0.604 0.604 0.604
5 Hg 0.799 0.799 0.799
6 F 0.042 0.042 0.042
7 F 0.149 0.149 0.149
8 F 0.253 0.253 0.253
9 F 0.346 0.346 0.346
10 F 0.447 0.447 0.447
11 F 0.553 0.553 0.553
12 F 0.654 0.654 0.654
13 F 0.747 0.747 0.747
14 F 0.851 0.851 0.851
15 F 0.958 0.958 0.958

Computed properties:
Its space-group type is R-3m. The total energy comes out at -45.0 eV/cell. The value obtained for the uncorrected formation energy is -1.399 eV/atom. Its density of states at the Fermi level is 2.68 states/eV per cell. The total magnetization comes out at 1.00 μB per formula unit.

=====

The following is a DFT calculation (PBE) of YIN3 after structural relaxation.

Lattice parameters (Å, degrees): 4.030 4.030 4.030 90.00 90.00 90.00
Positions (direct):
1 Y 0.000 0.000 0.000
2 I 0.500 0.500 0.500
3 N 0.000 0.500 0.500
4 N 0.500 0.000 0.500
5 N 0.500 0.500 0.000

Computed properties:
Its space-group type is Pm-3m. The total energy comes out at -28.7 eV/cell. The value obtained for the uncorrected formation energy is 0.866 eV/atom. Its density of states at the Fermi level is 0.74 states/eV per cell. The total magnetization comes out at 0.00 μB per formula unit.

=====

Density across the listed records, respectively: 10.78; 8.02; 6.54 g cm⁻³.